No. 1
Compound: Tb2Sc2Si2C
Source: the Alexandria database
Functional: PBE-GGA
Structure: relaxed

Cell lengths 4.3885, 4.3885, 8.1486 Å; angles 105.62, 105.62, 90.00 degrees
With the nearest neighbours (Å) after each atom.
Atoms (fractional coordinates):
Sc  0.0000  0.5000  0.0000  2 C 2.19
Si  0.6314  0.6314  0.2628  4 Sc 2.96, 5 Tb 3.05-3.15
Tb  0.1660  0.1660  0.3320  1 C 2.50
Sc  0.5000  0.0000  0.0000  2 C 2.19
Si  0.3686  0.3686  0.7372  4 Sc 2.96, 5 Tb 3.05-3.15
Tb  0.8340  0.8340  0.6680  1 C 2.50
C  0.0000  0.0000  0.0000  4 Sc 2.19

Properties
The calculation puts the total magnetic moment at 0.00 μB/cell. For the uncorrected formation energy, the calculation gives -512 kJ/mol of formula units. For the final energy, the calculation gives -47.30 eV/cell. Its density of states at the Fermi level is 0.09 states/eV/atom.

---

No. 2
Compound: NdMgIr
Source: the Alexandria database
Functional: PBE-GGA
Structure: relaxed

Cell lengths 4.1919, 8.6933, 7.2543 Å; angles 90.00, 90.00, 90.00 degrees
With the nearest neighbours (Å) after each atom.
Atoms (fractional coordinates):
Ir  0.7500  0.6272  0.2540  4 Mg 2.77-2.87, 5 Nd 3.02-3.09
Mg  0.7500  0.9417  0.1335  4 Ir 2.77-2.87, 2 Mg 3.03
Mg  0.7500  0.5583  0.6335  4 Ir 2.77-2.87, 2 Mg 3.03
Ir  0.2500  0.3728  0.7460  4 Mg 2.77-2.87, 5 Nd 3.02-3.09
Nd  0.7500  0.1773  0.5387  5 Ir 3.02-3.09, 4 Mg 3.33-3.35
Nd  0.7500  0.3227  0.0388  5 Ir 3.02-3.09, 4 Mg 3.33-3.35
Nd  0.2500  0.6773  0.9612  5 Ir 3.02-3.09, 4 Mg 3.33-3.35
Ir  0.7500  0.8728  0.7540  4 Mg 2.77-2.87, 5 Nd 3.02-3.09
Mg  0.2500  0.4417  0.3665  4 Ir 2.77-2.87, 2 Mg 3.03
Nd  0.2500  0.8227  0.4612  5 Ir 3.02-3.09, 4 Mg 3.33-3.35
Ir  0.2500  0.1272  0.2460  4 Mg 2.77-2.87, 5 Nd 3.02-3.09
Mg  0.2500  0.0583  0.8665  4 Ir 2.77-2.87, 2 Mg 3.03

Properties
The calculation puts the total magnetic moment at 0.00 μB/cell. The value obtained for the energy of formation is -0.599 eV per atom. For the final energy, the calculation gives -68.08 eV/cell. Its density of states at the Fermi level is 0.38 states/eV/atom.